Computed, not measured: LiVGaB2 after structural relaxation at the GGA-PBE level of DFT.

The structure in POSCAR format:
```
LiVGaB2
1.0
4.076 0.000 0.000
0.000 4.076 0.000
0.000 0.000 4.704
Li V Ga B
1 1 1 2
direct
0.000 0.000 0.000
0.500 0.500 0.500
0.500 0.500 0.000
0.000 0.500 0.500
0.500 0.000 0.500
```

Results
symmetry = P4/mmm (123)



Computed, not measured: Lu3GaB after structural relaxation at the GGA-PBE level of DFT.

The structure in POSCAR format:
```
Lu3GaB
1.0
4.855 0.000 0.000
0.000 4.855 0.000
0.000 0.000 4.855
Lu Ga B
3 1 1
direct
0.000 0.000 0.500
0.000 0.500 0.000
0.500 0.000 0.000
0.500 0.500 0.500
0.000 0.000 0.000
```

Results
symmetry = Pm-3m (221)



Number 1: VASP energy -4.68 eV/atom, calculated formation energy 18.51 kcal/mol of atoms. Number 2: VASP energy -4.90 eV/atom, calculated formation energy -5.69 kcal/mol of atoms.